[1]
## SrPaMnS4 (PBE)

Data for a relaxed SrPaMnS4 crystal.

Cell lengths 6.4497, 6.3152, 8.1778 Å; angles 90.00, 107.57, 90.00 degrees
With the nearest neighbours (Å) after each atom.
Atoms (fractional coordinates):
Sr 0.2472 0.2500 0.4416  4 S 2.87-3.17
Sr 0.7528 0.7500 0.5584  4 S 2.87-3.17
Pa 0.2634 0.2500 0.9432  6 S 2.70-2.82
Pa 0.7366 0.7500 0.0568  6 S 2.70-2.82
Mn 0.2659 0.7500 0.1764  4 S 2.27-2.29
Mn 0.7341 0.2500 0.8236  4 S 2.27-2.29
S 0.0501 0.7500 0.8996  1 Mn 2.27
S 0.0622 0.7500 0.3620  1 Mn 2.29
S 0.4794 0.5134 0.7769  1 Mn 2.29
S 0.4794 0.9866 0.7769  1 Mn 2.29
S 0.5206 0.0134 0.2231  1 Mn 2.29
S 0.5206 0.4866 0.2231  1 Mn 2.29
S 0.9378 0.2500 0.6380  1 Mn 2.29
S 0.9499 0.2500 0.1004  1 Mn 2.27

Calculated values
total moment: 0.56 μB/atom
DFT total energy: -6.68 eV/atom


[2]
## ThMnCuGe2 (PBE)

Data for a relaxed ThMnCuGe2 crystal.

Cell lengths 4.1521, 4.1521, 10.5750 Å; angles 90.00, 90.00, 90.00 degrees
With the nearest neighbours (Å) after each atom.
Atoms (fractional coordinates):
Th 0.0000 0.0000 0.0000  8 Ge 3.21, 4 Mn 3.36, 4 Cu 3.36
Th 0.5000 0.5000 0.5000  8 Ge 3.21, 4 Mn 3.36, 4 Cu 3.36
Mn 0.0000 0.5000 0.2500  4 Ge 2.48
Mn 0.5000 0.0000 0.7500  4 Ge 2.48
Cu 0.0000 0.5000 0.7500  4 Ge 2.48
Cu 0.5000 0.0000 0.2500  4 Ge 2.48
Ge 0.0000 0.0000 0.3775  2 Mn 2.48, 2 Cu 2.48, 1 Ge 2.59
Ge 0.0000 0.0000 0.6225  2 Mn 2.48, 2 Cu 2.48, 1 Ge 2.59
Ge 0.5000 0.5000 0.1225  2 Mn 2.48, 2 Cu 2.48, 1 Ge 2.59
Ge 0.5000 0.5000 0.8775  2 Mn 2.48, 2 Cu 2.48, 1 Ge 2.59

Calculated values
total moment: 0.64 μB/atom
DFT total energy: -6.43 eV/atom
formation energy: -0.4483 eV/atom


[3]
## Sc4HgW (PBE)

Data for a relaxed Sc4HgW crystal.

Cell lengths 5.5850, 5.5850, 5.5850 Å; angles 60.00, 60.00, 60.00 degrees
With the nearest neighbours (Å) after each atom.
Atoms (fractional coordinates):
Sc 0.1238 0.1238 0.1238  6 Sc 2.77-2.82
Sc 0.1238 0.1238 0.6287  6 Sc 2.77-2.82
Sc 0.1238 0.6287 0.1238  6 Sc 2.77-2.82
Sc 0.6287 0.1238 0.1238  6 Sc 2.77-2.82
Hg 0.5000 0.5000 0.5000  12 Sc 3.28, 4 W 3.42
W 0.7500 0.7500 0.7500  12 Sc 3.27, 4 Hg 3.42

Calculated values
total moment: 0.00 μB/atom
DFT total energy: -5.91 eV/atom
formation energy: 0.5165 eV/atom